A plane-wave DFT calculation with PBE with a Hubbard U was carried out for a geometry-optimized CsAcMn2F8 structure.

Its total moment is 10.000 μB/f.u. As for the symmetry: No. 147. The calculation puts the total energy at -71.63 eV per cell. The value obtained for the volume is 273 Å³/f.u.

Cell: 5.822 5.822 9.284 Å, 90.00 90.00 120.00°
Sites, in units of the cell vectors:
Cs (0.000, 0.000, 0.000)
Ac (0.000, 0.000, 0.500)
Mn (0.333, 0.667, 0.772)
Mn (0.667, 0.333, 0.228)
F (0.048, 0.335, 0.671)
F (0.287, 0.952, 0.671)
F (0.333, 0.667, 0.980)
F (0.335, 0.287, 0.329)
F (0.665, 0.713, 0.671)
F (0.667, 0.333, 0.020)
F (0.713, 0.048, 0.329)
F (0.952, 0.665, 0.329)